VASP calculation (GGA-PBE) on a relaxed ScCd2Co crystal.

Cell and atoms, written as POSCAR:
```
ScCd2Co
1.0
4.667 0.000 0.000
0.000 3.035 -0.009
0.000 1.500 5.239
Cd Co Sc
2 1 1
Direct
0.000 0.098 0.019
0.000 0.402 0.481
0.500 0.250 0.250
0.500 0.750 0.750
```

Crystal system = monoclinic
Density = 7.3 Mg/m³
Formation energy = 0.0706 eV/atom


VASP calculation (GGA-PBE) on a relaxed ScCd2Co crystal.

Cell and atoms, written as POSCAR:
```
ScCd2Co
1.0
-3.305 -0.727 -0.202
0.588 -3.050 1.357
-0.902 2.458 5.915
Cd Co Sc
2 1 1
Direct
0.000 0.000 0.031
0.000 0.000 0.469
0.500 0.500 0.250
0.500 0.500 0.750
```

Crystal system = tetragonal
Density = 7.3 Mg/m³
Formation energy = 0.0601 eV/atom


VASP calculation (GGA-PBE) on a relaxed Sc5Cd2Co2 crystal.

Cell and atoms, written as POSCAR:
```
Sc5Cd2Co2
1.0
6.349 0.000 2.305
0.000 6.770 0.000
0.464 0.000 8.618
Sc Cd Co
10 4 4
Direct
0.000 0.000 0.000
0.500 0.500 0.000
0.425 0.188 0.768
0.808 0.812 0.768
0.308 0.688 0.768
0.925 0.312 0.768
0.575 0.812 0.232
0.192 0.188 0.232
0.692 0.312 0.232
0.075 0.688 0.232
0.230 0.000 0.541
0.730 0.500 0.541
0.770 0.000 0.459
0.270 0.500 0.459
0.115 0.384 0.000
0.885 0.616 0.000
0.385 0.884 0.000
0.615 0.116 0.000
```

Crystal system = orthorhombic
Density = 5.2 Mg/m³
Formation energy = -0.2727 eV/atom


VASP calculation (GGA-PBE) on a relaxed ScCdCo2 crystal.

Cell and atoms, written as POSCAR:
```
ScCdCo2
1.0
5.244 0.014 0.082
4.255 3.065 0.082
1.728 0.560 3.913
Cd Co Sc
1 2 1
Direct
0.733 0.733 0.766
0.978 0.978 0.023
0.277 0.277 0.222
0.512 0.512 0.489
```

Crystal system = monoclinic
Density = 7.3 Mg/m³
Formation energy = -0.0058 eV/atom


VASP calculation (GGA-PBE) on a relaxed ScCd4Co2 crystal.

Cell and atoms, written as POSCAR:
```
ScCd4Co2
1.0
-4.524 1.501 -2.376
0.758 -3.683 -3.771
-5.265 -5.516 0.569
Sc Co Cd
1 2 4
Direct
0.000 0.000 0.000
0.579 0.579 0.843
0.421 0.421 0.157
0.778 0.778 0.444
0.222 0.222 0.556
0.000 0.500 0.000
0.500 0.000 0.000
```

Crystal system = tetragonal
Density = 5.4 Mg/m³
Formation energy = 0.8177 eV/atom


VASP calculation (GGA-PBE) on a relaxed Sc2Cd2Co crystal.

Cell and atoms, written as POSCAR:
```
Sc2Cd2Co
1.0
3.132 0.000 -0.502
-0.081 3.131 -0.502
-0.020 -0.020 9.888
Sc Cd Co
2 2 1
Direct
0.579 0.579 0.158
0.421 0.421 0.842
0.805 0.805 0.611
0.195 0.195 0.389
0.000 0.000 0.000
```

Crystal system = tetragonal
E above lowest polymorph = 0 meV/atom
Density = 6.4 Mg/m³
Formation energy = -0.2925 eV/atom